(1)
A geometry-optimized Tl12Cd3Hg structure, computed with GGA-PBE.

```
Tl12Cd3Hg
1.0
4.730 0.000 0.000
0.000 4.730 0.000
0.000 0.000 20.960
Tl Cd Hg
12 3 1
Cartesian
2.365 2.365 10.480 Tl
2.365 0.000 18.274 Tl
0.000 2.365 13.106 Tl
2.365 0.000 13.106 Tl
2.365 0.000 2.686 Tl
2.365 2.365 0.000 Tl
2.365 0.000 7.853 Tl
2.365 2.365 15.693 Tl
2.365 2.365 5.267 Tl
0.000 2.365 7.853 Tl
0.000 2.365 2.686 Tl
0.000 2.365 18.274 Tl
0.000 0.000 10.480 Cd
0.000 0.000 5.264 Cd
0.000 0.000 15.696 Cd
0.000 0.000 0.000 Hg
```

For the spin magnetization, the calculation gives 0.0 μB per cell. For the formation energy, the calculation gives 42 meV per atom.

---

(2)
A geometry-optimized Er2ScHg structure, computed with GGA-PBE.

```
Er2ScHg
1.0
-1.484 3.948 3.163
-2.356 -1.049 4.598
2.560 0.854 4.529
Er Hg Sc
2 1 1
Cartesian
-0.960 2.814 9.218 Er
-0.320 0.938 3.073 Er
0.000 0.000 0.000 Hg
-0.640 1.876 6.146 Sc
```

For the spin magnetization, the calculation gives 0.7 μB per cell. The calculation puts the excess energy over the best structure of this formula in the dataset at 55 kJ/mol of formula units. For the formation energy, the calculation gives -71 meV per atom.

---

(3)
A geometry-optimized Pu2Zn3AgAu12 structure, computed with GGA-PBE.

```
Pu2Zn3AgAu12
1.0
10.073 1.852 1.314
6.585 7.844 1.314
6.585 3.833 6.969
Au Zn Ag Pu
12 3 1 2
Cartesian
12.187 7.094 6.760 Au
17.347 8.311 7.788 Au
5.897 5.219 1.809 Au
11.056 6.436 2.837 Au
5.897 3.433 4.328 Au
17.347 10.097 5.269 Au
12.187 8.725 4.460 Au
13.606 6.289 4.460 Au
9.638 7.241 5.136 Au
11.056 4.805 5.136 Au
15.793 10.979 7.788 Au
7.450 2.550 1.809 Au
3.293 1.917 3.484 Zn
3.293 3.922 0.657 Zn
5.036 0.926 0.657 Zn
0.000 0.000 0.000 Ag
8.393 4.885 3.465 Pu
14.851 8.644 6.131 Pu
```

For the spin magnetization, the calculation gives 11.0 μB per cell. For the formation energy, the calculation gives -43 meV per atom.

---

(4)
A geometry-optimized TbMgIrO6 structure, computed with GGA-PBE.

```
TbMgIrO6
1.0
5.440 0.000 0.000
-2.720 4.711 0.000
0.000 0.000 8.653
O Mg Ir Tb
12 2 2 2
Cartesian
3.454 2.990 3.250 O
0.734 1.721 7.576 O
0.863 4.486 7.576 O
4.316 1.496 1.077 O
-0.734 1.721 5.404 O
1.987 2.990 1.077 O
1.596 3.215 5.404 O
3.583 0.225 3.250 O
1.124 1.496 3.250 O
-1.596 3.215 7.576 O
-0.863 4.486 5.404 O
1.857 0.225 1.077 O
0.000 0.000 0.000 Mg
0.000 0.000 4.327 Mg
2.720 1.570 2.163 Ir
0.000 3.141 6.490 Ir
0.000 3.141 2.163 Tb
2.720 1.570 6.490 Tb
```

For the spin magnetization, the calculation gives 2.8 μB per cell.

---

The following VASP energy values (in Ry per atom) correspond, in order, to the records above: -0.1414, -0.2948, -0.3081, -0.4938.